DFT (PBE with a Hubbard U) results for KCoF2 after structural relaxation.

Properties
The density of states at the Fermi level is 0.000 states/eV/cell. The symmetry is R-3m. The final energy is -4.31 eV/atom.

Cell and atoms, written as POSCAR:
```
KCoF2
1.0
2.243 0.000 6.432
-1.121 1.942 6.432
-1.121 -1.942 6.432
K Co F
1 1 2
Direct
0.500 0.500 0.500
0.000 0.000 0.000
0.905 0.905 0.905
0.095 0.095 0.095
```